(1)
Here is a relaxed structure of YHo2In4 from Alexandria via LeMat-Bulk. Energies are from PBE.

Calculated volume in Å³ per cell: 203
Crystal system: tetragonal
E in eV/cell: -28.88
Total magnetization in Bohr magnetons per cell: 0.000
DOS(E_F) in states/eV per cell: 5.67
Calculated density in g/cm3: 7.2

abc: 6.409 6.409 6.409
angles: 109.05 109.05 110.32
Atoms (fractional coordinates):
Y1 0.000 0.000 0.000
Ho1 0.000 0.500 0.500
Ho2 0.500 0.000 0.500
In1 0.000 0.000 0.500
In2 0.000 0.500 0.000
In3 0.500 0.000 0.000
In4 0.500 0.500 0.500

***

(2)
Here is a relaxed structure of YHo6In2 from Alexandria via LeMat-Bulk. Energies are from PBE.

Calculated volume in Å³ per cell: 266
Crystal system: monoclinic
E in eV/cell: -41.30
Total magnetization in Bohr magnetons per cell: 0.000
DOS(E_F) in states/eV per cell: 11.06
Calculated density in g/cm3: 8.2

abc: 6.603 6.603 11.865
angles: 107.44 107.44 32.76
Atoms (fractional coordinates):
Y1 0.000 0.000 0.000
Ho1 0.015 0.015 0.342
Ho2 0.311 0.311 0.416
Ho3 0.316 0.316 0.124
Ho4 0.684 0.684 0.876
Ho5 0.689 0.689 0.584
Ho6 0.985 0.985 0.658
In1 0.356 0.356 0.793
In2 0.644 0.644 0.207

***

(3)
Here is a relaxed structure of Y4HoIn2 from Alexandria via LeMat-Bulk. Energies are from PBE.

Calculated volume in Å³ per cell: 215
Crystal system: monoclinic
E in eV/cell: -36.78
Total magnetization in Bohr magnetons per cell: 0.000
DOS(E_F) in states/eV per cell: 9.34
Calculated density in g/cm3: 5.8

abc: 6.362 6.362 6.363
angles: 102.94 102.94 113.69
Atoms (fractional coordinates):
Y1 0.167 0.833 0.000
Y2 0.282 0.718 0.500
Y3 0.718 0.282 0.500
Y4 0.833 0.167 0.000
Ho1 0.500 0.500 0.000
In1 0.192 0.192 0.466
In2 0.808 0.808 0.534

***

(4)
Here is a relaxed structure of YHoIn4 from Alexandria via LeMat-Bulk. Energies are from PBE.

Calculated volume in Å³ per cell: 152
Crystal system: cubic
E in eV/cell: -23.97
Total magnetization in Bohr magnetons per cell: 0.000
DOS(E_F) in states/eV per cell: 3.84
Calculated density in g/cm3: 7.8

abc: 5.989 5.989 5.989
angles: 60.00 60.00 60.00
Atoms (fractional coordinates):
Y1 0.000 0.000 0.000
Ho1 0.750 0.750 0.750
In1 0.375 0.375 0.375
In2 0.375 0.375 0.875
In3 0.375 0.875 0.375
In4 0.875 0.375 0.375